(1)
Rb8Na | PBE | relaxed

SG	I4/mmm (139)
formation energy from the elements	0.02	eV per atom
spin magnetization	0.00	μB per cell
VASP energy	-0.985	eV/atom

Cell: 12.1711 12.1711 12.1711 Å, 92.81 92.81 154.44°
Last column: nearest neighbours and their distance in Å.
Atoms (fractional coordinates):
Rb (0.0000, 0.3327, 0.3327)  8 Rb 4.79-4.80
Rb (0.0000, 0.6673, 0.6673)  8 Rb 4.79-4.80
Rb (0.3327, 0.0000, 0.3327)  8 Rb 4.79-4.80
Rb (0.3464, 0.3464, 0.6929)  2 Na 4.53, 4 Rb 4.79
Rb (0.3464, 0.6536, 0.0000)  2 Na 4.53, 4 Rb 4.79
Rb (0.6536, 0.3464, 0.0000)  2 Na 4.53, 4 Rb 4.79
Rb (0.6536, 0.6536, 0.3071)  2 Na 4.53, 4 Rb 4.79
Rb (0.6673, 0.0000, 0.6673)  8 Rb 4.79-4.80
Na (0.0000, 0.0000, 0.0000)  8 Rb 4.53

(2)
RbNa3Re | PBE | relaxed

SG	Pm-3m (221)
formation energy from the elements	1.81	eV per atom
energy above the lowest structure with this stoichiometry	607.4	meV/atom
spin magnetization	4.03	μB per cell
VASP energy	-1.660	eV/atom

Cell: 6.1122 6.1122 6.1122 Å, 90.00 90.00 90.00°
Last column: nearest neighbours and their distance in Å.
Atoms (fractional coordinates):
Rb (0.0000, 0.0000, 0.0000)  6 Na 3.06
Na (0.0000, 0.0000, 0.5000)  2 Rb 3.06
Na (0.0000, 0.5000, 0.0000)  2 Rb 3.06
Na (0.5000, 0.0000, 0.0000)  2 Rb 3.06
Re (0.5000, 0.5000, 0.5000)  12 Na 4.32

(3)
RbNaRe3 | PBE | relaxed

SG	Pm-3m (221)
formation energy from the elements	4.00	eV per atom
energy above the lowest structure with this stoichiometry	553.3	meV/atom
spin magnetization	2.97	μB per cell
VASP energy	-3.925	eV/atom

Cell: 4.8072 4.8072 4.8072 Å, 90.00 90.00 90.00°
Last column: nearest neighbours and their distance in Å.
Atoms (fractional coordinates):
Rb (0.0000, 0.0000, 0.0000)  6 Re 2.40
Na (0.5000, 0.5000, 0.5000)  12 Re 3.40
Re (0.0000, 0.0000, 0.5000)  2 Rb 2.40
Re (0.0000, 0.5000, 0.0000)  2 Rb 2.40
Re (0.5000, 0.0000, 0.0000)  2 Rb 2.40

(4)
RbNaRe3 | PBE | relaxed

SG	Pm-3m (221)
formation energy from the elements	3.45	eV per atom
energy above the lowest structure with this stoichiometry	0.0	meV/atom
spin magnetization	6.19	μB per cell
VASP energy	-4.479	eV/atom

Cell: 4.8751 4.8751 4.8751 Å, 90.00 90.00 90.00°
Last column: nearest neighbours and their distance in Å.
Atoms (fractional coordinates):
Rb (0.0000, 0.0000, 0.0000)  12 Re 3.45
Na (0.5000, 0.5000, 0.5000)  6 Re 2.44
Re (0.0000, 0.5000, 0.5000)  2 Na 2.44
Re (0.5000, 0.0000, 0.5000)  2 Na 2.44
Re (0.5000, 0.5000, 0.0000)  2 Na 2.44

(5)
RbNa3Re | PBE | relaxed

SG	Pm-3m (221)
formation energy from the elements	1.21	eV per atom
energy above the lowest structure with this stoichiometry	0.0	meV/atom
spin magnetization	3.80	μB per cell
VASP energy	-2.268	eV/atom

Cell: 6.0627 6.0627 6.0627 Å, 90.00 90.00 90.00°
Last column: nearest neighbours and their distance in Å.
Atoms (fractional coordinates):
Rb (0.0000, 0.0000, 0.0000)  12 Na 4.29
Na (0.0000, 0.5000, 0.5000)  2 Re 3.03
Na (0.5000, 0.0000, 0.5000)  2 Re 3.03
Na (0.5000, 0.5000, 0.0000)  2 Re 3.03
Re (0.5000, 0.5000, 0.5000)  6 Na 3.03

(6)
RbNaRe2Rh | PBE | relaxed

SG	P4/mmm (123)
formation energy from the elements	1.57	eV per atom
spin magnetization	2.99	μB per cell
VASP energy	-5.339	eV/atom

Cell: 4.8034 4.8034 5.6582 Å, 90.00 90.00 90.00°
Last column: nearest neighbours and their distance in Å.
Atoms (fractional coordinates):
Rb (0.0000, 0.0000, 0.0000)  4 Na 3.40, 8 Re 3.71
Na (0.5000, 0.5000, 0.0000)  2 Rh 2.83
Re (0.0000, 0.5000, 0.5000)  2 Rh 2.40
Re (0.5000, 0.0000, 0.5000)  2 Rh 2.40
Rh (0.5000, 0.5000, 0.5000)  4 Re 2.40